Material: Ce3Pm2PuP6
Method: DFT, PBE-GGA
State: relaxed

Properties
theoretical density: 6.5 g/cm³
DOS at the Fermi energy: 23.34 states/eV/f.u.
energy relative to the elements: -1.463 eV per atom
SG: C2/m, No. 12
magnetic moment: 0.562 μB/atom

Cell: 7.082 7.082 7.079 Å, 99.60 99.60 120.00°
Element x y z (fractional)
Ce1 0.832 0.168 0.500
Ce2 0.168 0.832 0.500
Ce3 0.500 0.500 0.500
Pm1 0.334 0.666 0.000
Pm2 0.666 0.334 0.000
P1 0.084 0.411 0.252
P2 0.411 0.084 0.252
P3 0.243 0.243 0.748
P4 0.757 0.757 0.252
P5 0.589 0.916 0.748
P6 0.916 0.589 0.748
Pu1 0.000 0.000 0.000

Material: CePm2P3Rh4
Method: DFT, PBE-GGA
State: relaxed

Properties
theoretical density: 8.5 g/cm³
DOS at the Fermi energy: 7.64 states/eV/f.u.
energy relative to the elements: -1.047 eV per atom
SG: P-4m2, No. 115
magnetic moment: 0.000 μB/atom

Cell: 4.071 4.071 11.062 Å, 90.00 90.00 90.00°
Element x y z (fractional)
P1 0.000 0.500 0.127
P2 0.000 0.000 0.500
P3 0.500 0.000 0.873
Pm1 0.000 0.500 0.782
Pm2 0.500 0.000 0.218
Ce1 0.500 0.500 0.500
Rh1 0.000 0.000 0.000
Rh2 0.500 0.000 0.660
Rh3 0.000 0.500 0.340
Rh4 0.500 0.500 0.000

Material: Ce2PmP2Rh7
Method: DFT, PBE-GGA
State: relaxed

Properties
theoretical density: 9.4 g/cm³
DOS at the Fermi energy: 8.27 states/eV/f.u.
energy relative to the elements: -0.884 eV per atom
SG: C2/m, No. 12
magnetic moment: 0.000 μB/atom

Cell: 4.018 4.018 13.333 Å, 84.27 84.27 89.42°
Element x y z (fractional)
Rh1 0.945 0.445 0.169
Rh2 0.055 0.555 0.831
Rh3 0.643 0.643 0.571
Rh4 0.357 0.357 0.429
Rh5 0.500 0.500 0.000
Rh6 0.555 0.055 0.831
Rh7 0.445 0.945 0.169
Ce1 0.893 0.893 0.352
Ce2 0.107 0.107 0.648
Pm1 0.000 0.000 0.000
P1 0.417 0.417 0.255
P2 0.583 0.583 0.745

Material: Ce2PmP3Rh12
Method: DFT, PBE-GGA
State: relaxed

Properties
theoretical density: 9.7 g/cm³
DOS at the Fermi energy: 16.57 states/eV/f.u.
energy relative to the elements: -0.482 eV per atom
SG: R-3m, No. 166
magnetic moment: 0.000 μB/atom

Cell: 6.780 6.780 6.780 Å, 80.94 80.94 80.94°
Element x y z (fractional)
Rh1 0.350 0.912 0.350
Rh2 0.912 0.350 0.350
Rh3 0.185 0.642 0.185
Rh4 0.815 0.358 0.815
Rh5 0.185 0.185 0.642
Rh6 0.650 0.650 0.088
Rh7 0.358 0.815 0.815
Rh8 0.642 0.185 0.185
Rh9 0.350 0.350 0.912
Rh10 0.088 0.650 0.650
Rh11 0.815 0.815 0.358
Rh12 0.650 0.088 0.650
P1 0.000 0.000 0.500
P2 0.500 0.000 0.000
P3 0.000 0.500 0.000
Ce1 0.615 0.615 0.615
Ce2 0.385 0.385 0.385
Pm1 0.000 0.000 0.000

Material: CePm2P3Rh12
Method: DFT, PBE-GGA
State: relaxed

Properties
theoretical density: 9.6 g/cm³
DOS at the Fermi energy: 16.79 states/eV/f.u.
energy relative to the elements: -0.395 eV per atom
SG: R-3m, No. 166
magnetic moment: 0.000 μB/atom

Cell: 6.757 6.757 6.757 Å, 83.27 83.27 83.27°
Element x y z (fractional)
Rh1 0.177 0.666 0.177
Rh2 0.635 0.635 0.088
Rh3 0.177 0.177 0.666
Rh4 0.334 0.823 0.823
Rh5 0.365 0.365 0.912
Rh6 0.666 0.177 0.177
Rh7 0.088 0.635 0.635
Rh8 0.823 0.823 0.334
Rh9 0.635 0.088 0.635
Rh10 0.365 0.912 0.365
Rh11 0.823 0.334 0.823
Rh12 0.912 0.365 0.365
P1 0.000 0.000 0.500
P2 0.500 0.000 0.000
P3 0.000 0.500 0.000
Ce1 0.000 0.000 0.000
Pm1 0.375 0.375 0.375
Pm2 0.625 0.625 0.625

Material: CePmPS
Method: DFT, PBE-GGA
State: relaxed

Properties
theoretical density: 6.0 g/cm³
DOS at the Fermi energy: 5.73 states/eV/f.u.
uncorrected formation energy: -1.83 eV per atom
SG: R3m, No. 160
magnetic moment: 0.177 μB/atom

Cell: 4.077 4.077 7.068 Å, 73.24 73.24 60.00°
Element x y z (fractional)
P1 0.693 0.693 0.920
Ce1 0.946 0.946 0.163
Pm1 0.443 0.443 0.672
S1 0.195 0.195 0.416

Material: CePmSc2P4
Method: DFT, PBE-GGA
State: relaxed

Properties
theoretical density: 4.8 g/cm³
DOS at the Fermi energy: 5.10 states/eV/f.u.
energy relative to the elements: -1.489 eV per atom
SG: P2/m, No. 10
magnetic moment: 0.044 μB/atom

Cell: 3.946 6.771 6.838 Å, 70.44 90.00 90.00°
Element x y z (fractional)
Ce1 0.500 0.500 0.000
P1 0.000 0.770 0.746
P2 0.500 0.229 0.760
P3 0.500 0.771 0.240
P4 0.000 0.230 0.254
Sc1 0.500 0.000 0.500
Sc2 0.000 0.000 0.000
Pm1 0.000 0.500 0.500

Material: Ce2Pm3SmP6
Method: DFT, PBE-GGA
State: relaxed

Properties
theoretical density: 5.9 g/cm³
DOS at the Fermi energy: 9.50 states/eV/f.u.
energy relative to the elements: -1.555 eV per atom
SG: C2/m, No. 12
magnetic moment: 0.067 μB/atom

Cell: 7.117 7.117 7.118 Å, 99.59 99.59 120.00°
Element x y z (fractional)
Ce1 0.333 0.667 0.000
Ce2 0.667 0.333 0.000
P1 0.255 0.255 0.754
P2 0.582 0.918 0.755
P3 0.918 0.582 0.755
P4 0.082 0.418 0.245
P5 0.745 0.745 0.246
P6 0.418 0.082 0.245
Sm1 0.000 0.000 0.000
Pm1 0.166 0.834 0.500
Pm2 0.500 0.500 0.500
Pm3 0.834 0.166 0.500

Material: Ce2PmSmP4
Method: DFT, PBE-GGA
State: relaxed

Properties
theoretical density: 6.0 g/cm³
DOS at the Fermi energy: 9.21 states/eV/f.u.
energy relative to the elements: -1.542 eV per atom
SG: P2/m, No. 10
magnetic moment: 0.122 μB/atom

Cell: 4.102 7.103 7.106 Å, 70.52 90.00 90.00°
Element x y z (fractional)
Ce1 0.500 0.000 0.500
Ce2 0.000 0.000 0.000
Sm1 0.000 0.500 0.500
Pm1 0.500 0.500 0.000
P1 0.000 0.245 0.252
P2 0.500 0.246 0.751
P3 0.500 0.754 0.249
P4 0.000 0.755 0.748

Material: SrCePm2P4
Method: DFT, PBE-GGA
State: relaxed

Properties
theoretical density: 5.2 g/cm³
DOS at the Fermi energy: 1.29 states/eV/f.u.
energy relative to the elements: -1.386 eV per atom
SG: P2/m, No. 10
magnetic moment: 0.017 μB/atom

Cell: 4.175 7.221 7.217 Å, 71.00 90.00 90.00°
Element x y z (fractional)
P1 0.000 0.245 0.267
P2 0.500 0.250 0.740
P3 0.000 0.755 0.733
P4 0.500 0.750 0.260
Pm1 0.000 0.000 0.000
Pm2 0.500 0.000 0.500
Ce1 0.000 0.500 0.500
Sr1 0.500 0.500 0.000

Material: SrCe2PmP4
Method: DFT, PBE-GGA
State: relaxed

Properties
theoretical density: 5.2 g/cm³
DOS at the Fermi energy: 7.20 states/eV/f.u.
energy relative to the elements: -1.401 eV per atom
SG: P2/m, No. 10
magnetic moment: 0.108 μB/atom

Cell: 4.163 7.205 7.239 Å, 70.58 90.00 90.00°
Element x y z (fractional)
P1 0.000 0.771 0.734
P2 0.500 0.761 0.254
P3 0.500 0.239 0.746
P4 0.000 0.229 0.266
Ce1 0.000 0.000 0.000
Ce2 0.500 0.000 0.500
Sr1 0.500 0.500 0.000
Pm1 0.000 0.500 0.500

Material: TbCe2Pm3P6
Method: DFT, PBE-GGA
State: relaxed

Properties
theoretical density: 6.0 g/cm³
DOS at the Fermi energy: 9.93 states/eV/f.u.
energy relative to the elements: -1.559 eV per atom
SG: C2/m, No. 12
magnetic moment: 0.065 μB/atom

Cell: 7.092 7.092 7.098 Å, 99.59 99.59 120.00°
Element x y z (fractional)
P1 0.585 0.919 0.757
P2 0.252 0.252 0.756
P3 0.081 0.415 0.243
P4 0.415 0.081 0.243
P5 0.919 0.585 0.757
P6 0.748 0.748 0.244
Pm1 0.500 0.500 0.500
Pm2 0.833 0.167 0.500
Pm3 0.167 0.833 0.500
Ce1 0.667 0.333 0.000
Ce2 0.333 0.667 0.000
Tb1 0.000 0.000 0.000

Material: TbCe3Pm2P6
Method: DFT, PBE-GGA
State: relaxed

Properties
theoretical density: 6.0 g/cm³
DOS at the Fermi energy: 14.06 states/eV/f.u.
energy relative to the elements: -1.545 eV per atom
SG: C2/m, No. 12
magnetic moment: 0.121 μB/atom

Cell: 7.088 7.088 7.082 Å, 99.60 99.60 120.01°
Element x y z (fractional)
P1 0.414 0.084 0.253
P2 0.586 0.916 0.747
P3 0.916 0.586 0.747
P4 0.084 0.414 0.253
P5 0.245 0.245 0.746
P6 0.755 0.755 0.254
Pm1 0.334 0.666 0.000
Pm2 0.666 0.334 0.000
Tb1 0.000 0.000 0.000
Ce1 0.500 0.500 0.500
Ce2 0.167 0.833 0.500
Ce3 0.833 0.167 0.500

Material: TbCe2PmP4
Method: DFT, PBE-GGA
State: relaxed

Properties
theoretical density: 6.1 g/cm³
DOS at the Fermi energy: 9.36 states/eV/f.u.
energy relative to the elements: -1.548 eV per atom
SG: P2/m, No. 10
magnetic moment: 0.123 μB/atom

Cell: 4.084 7.066 7.074 Å, 70.51 90.00 90.00°
Element x y z (fractional)
Pm1 0.500 0.500 0.000
P1 0.500 0.751 0.253
P2 0.000 0.753 0.746
P3 0.500 0.249 0.747
P4 0.000 0.247 0.254
Ce1 0.500 0.000 0.500
Ce2 0.000 0.000 0.000
Tb1 0.000 0.500 0.500

Material: Tb2CePm3P6
Method: DFT, PBE-GGA
State: relaxed

Properties
theoretical density: 6.2 g/cm³
DOS at the Fermi energy: 5.11 states/eV/f.u.
energy relative to the elements: -1.577 eV per atom
SG: C2/m, No. 12
magnetic moment: 0.022 μB/atom

Cell: 7.073 7.073 7.083 Å, 99.58 99.58 119.99°
Element x y z (fractional)
Ce1 0.000 0.000 0.000
P1 0.749 0.749 0.243
P2 0.081 0.413 0.243
P3 0.413 0.081 0.243
P4 0.251 0.251 0.757
P5 0.919 0.587 0.757
P6 0.587 0.919 0.757
Pm1 0.833 0.167 0.500
Pm2 0.500 0.500 0.500
Pm3 0.167 0.833 0.500
Tb1 0.667 0.333 0.000
Tb2 0.333 0.667 0.000

Material: Tb3CePm2P6
Method: DFT, PBE-GGA
State: relaxed

Properties
theoretical density: 6.3 g/cm³
DOS at the Fermi energy: 5.22 states/eV/f.u.
energy relative to the elements: -1.585 eV per atom
SG: C2/m, No. 12
magnetic moment: 0.025 μB/atom

Cell: 7.049 7.049 7.044 Å, 99.60 99.60 119.98°
Element x y z (fractional)
P1 0.756 0.756 0.253
P2 0.413 0.085 0.254
P3 0.587 0.915 0.746
P4 0.085 0.413 0.254
P5 0.915 0.587 0.746
P6 0.244 0.244 0.747
Tb1 0.500 0.500 0.500
Tb2 0.833 0.167 0.500
Tb3 0.167 0.833 0.500
Ce1 0.000 0.000 0.000
Pm1 0.666 0.334 0.000
Pm2 0.334 0.666 0.000

Material: Tb2Ce3PmP6
Method: DFT, PBE-GGA
State: relaxed

Properties
theoretical density: 6.2 g/cm³
DOS at the Fermi energy: 13.57 states/eV/f.u.
energy relative to the elements: -1.552 eV per atom
SG: C2/m, No. 12
magnetic moment: 0.122 μB/atom

Cell: 7.060 7.060 7.050 Å, 99.61 99.61 120.01°
Element x y z (fractional)
Tb1 0.667 0.333 0.000
Tb2 0.333 0.667 0.000
P1 0.421 0.084 0.251
P2 0.254 0.254 0.750
P3 0.746 0.746 0.250
P4 0.084 0.421 0.251
P5 0.579 0.916 0.749
P6 0.916 0.579 0.749
Ce1 0.500 0.500 0.500
Ce2 0.166 0.834 0.500
Ce3 0.834 0.166 0.500
Pm1 0.000 0.000 0.000

Material: CePmTeP
Method: DFT, PBE-GGA
State: relaxed

Properties
theoretical density: 6.5 g/cm³
DOS at the Fermi energy: 6.66 states/eV/f.u.
uncorrected formation energy: -1.48 eV per atom
SG: R3m, No. 160
magnetic moment: 0.178 μB/atom

Cell: 4.178 4.178 7.828 Å, 90.00 105.48 120.00°
Element x y z (fractional)
Te1 0.967 0.382 0.364
Ce1 0.109 0.952 0.076
P1 0.306 0.551 0.872
Pm1 0.496 0.146 0.657

Material: Ce2Pm3ThP6
Method: DFT, PBE-GGA
State: relaxed

Properties
theoretical density: 6.3 g/cm³
DOS at the Fermi energy: 11.08 states/eV/f.u.
energy relative to the elements: -1.560 eV per atom
SG: C2/m, No. 12
magnetic moment: 0.092 μB/atom

Cell: 7.142 7.142 7.133 Å, 99.60 99.60 120.02°
Element x y z (fractional)
P1 0.417 0.082 0.246
P2 0.583 0.918 0.754
P3 0.918 0.583 0.754
P4 0.253 0.253 0.754
P5 0.747 0.747 0.246
P6 0.082 0.417 0.246
Pm1 0.167 0.833 0.500
Pm2 0.833 0.167 0.500
Pm3 0.500 0.500 0.500
Th1 0.000 0.000 0.000
Ce1 0.667 0.333 0.000
Ce2 0.333 0.667 0.000

Material: Ce3PmTh2P6
Method: DFT, PBE-GGA
State: relaxed

Properties
theoretical density: 6.8 g/cm³
DOS at the Fermi energy: 15.16 states/eV/f.u.
energy relative to the elements: -1.544 eV per atom
SG: C2/m, No. 12
magnetic moment: 0.126 μB/atom

Cell: 7.132 7.132 7.134 Å, 99.59 99.59 119.99°
Element x y z (fractional)
P1 0.084 0.419 0.253
P2 0.419 0.084 0.253
P3 0.916 0.581 0.747
P4 0.581 0.916 0.747
P5 0.750 0.750 0.253
P6 0.250 0.250 0.747
Pm1 0.000 0.000 0.000
Th1 0.333 0.667 0.000
Th2 0.667 0.333 0.000
Ce1 0.834 0.166 0.500
Ce2 0.500 0.500 0.500
Ce3 0.166 0.834 0.500